1.
{
  "formula": "Ba6GeSe2I3",
  "functional": "PBE",
  "state": "optimized geometry",
  "cell": [[4.1916, -7.2574, 0.0000], [4.1916, 7.2574, 0.0000], [-2.7879, 0.0000, 8.3022]],
  "species": ["Ba", "Ba", "Ba", "Ba", "Ba", "Ba", "Ge", "Se", "Se", "I", "I", "I"],
  "fractional_positions": [[0.0700, 0.3971, 0.2101], [0.2566, 0.2566, 0.7888], [0.3971, 0.0700, 0.2101], [0.6029, 0.9300, 0.7899], [0.7434, 0.7434, 0.2112], [0.9300, 0.6029, 0.7899], [0.0000, 0.0000, 0.0000], [0.3336, 0.6664, 0.0000], [0.6664, 0.3336, 0.0000], [0.1685, 0.8315, 0.5000], [0.5000, 0.5000, 0.5000], [0.8315, 0.1685, 0.5000]],
  "e_form_raw_ev_per_atom": -1.53,
  "spacegroup": "No. 12",
  "energy_ev_per_cell": -46.157
}

=====

2.
{
  "formula": "KLi2Os",
  "functional": "PBE",
  "state": "optimized geometry",
  "cell": [[2.5963, 0.0000, 0.0000], [0.0000, 4.5293, 0.0000], [-1.1067, 0.0000, 7.5862]],
  "species": ["K", "Li", "Li", "Os"],
  "fractional_positions": [[0.0000, 0.0000, 0.0000], [0.7392, 0.5000, 0.4018], [0.8233, 0.0000, 0.5960], [0.3677, 0.5000, 0.6990]],
  "formation_enthalpy_0k_ev_per_atom": 0.592,
  "e_above_lowest_polymorph_mev_per_atom": 24,
  "spacegroup": "No. 6",
  "energy_ev_per_cell": -13.786
}

=====

3.
{
  "formula": "Mn2Tl2CrS4",
  "functional": "PBE",
  "state": "optimized geometry",
  "cell": [[6.5359, -1.6865, 0.0000], [6.5359, 1.6865, 0.0000], [-1.6899, 0.0000, 8.0213]],
  "species": ["Mn", "Mn", "Tl", "Tl", "Cr", "S", "S", "S", "S"],
  "fractional_positions": [[0.1719, 0.1719, 0.4821], [0.8281, 0.8281, 0.5179], [0.3701, 0.3701, 0.9935], [0.6299, 0.6299, 0.0065], [0.5000, 0.5000, 0.5000], [0.0222, 0.0222, 0.3059], [0.2997, 0.2997, 0.3460], [0.7003, 0.7003, 0.6540], [0.9778, 0.9778, 0.6941]],
  "e_form_raw_ev_per_atom": -0.44,
  "spacegroup": "No. 12",
  "energy_ev_per_cell": -53.131
}

=====

4.
{
  "formula": "HfZn4Co2",
  "functional": "PBE",
  "state": "optimized geometry",
  "cell": [[4.0859, 0.0000, 0.0000], [0.0000, 16.7023, 0.0000], [0.0000, 0.0000, 2.9887]],
  "species": ["Hf", "Hf", "Zn", "Zn", "Zn", "Zn", "Zn", "Zn", "Zn", "Zn", "Co", "Co", "Co", "Co"],
  "fractional_positions": [[0.0000, 0.0000, 0.0000], [0.5000, 0.5000, 0.0000], [0.0000, 0.1575, 0.5000], [0.0000, 0.3044, 0.0000], [0.0000, 0.6956, 0.0000], [0.0000, 0.8425, 0.5000], [0.5000, 0.1956, 0.0000], [0.5000, 0.3425, 0.5000], [0.5000, 0.6575, 0.5000], [0.5000, 0.8044, 0.0000], [0.0000, 0.4325, 0.5000], [0.0000, 0.5675, 0.5000], [0.5000, 0.0675, 0.5000], [0.5000, 0.9325, 0.5000]],
  "formation_enthalpy_0k_ev_per_atom": -0.077,
  "spacegroup": "No. 65",
  "energy_ev_per_cell": -59.595
}

=====

5.
{
  "formula": "VSiPRh2",
  "functional": "PBE",
  "state": "optimized geometry",
  "cell": [[4.5222, 0.0000, 0.0000], [0.0000, 4.5222, 0.0000], [0.0000, 0.0000, 4.4098]],
  "species": ["V", "Si", "P", "Rh", "Rh"],
  "fractional_positions": [[0.0000, 0.0000, 0.0000], [0.5000, 0.5000, 0.5000], [0.0000, 0.0000, 0.5000], [0.0000, 0.5000, 0.0000], [0.5000, 0.0000, 0.0000]],
  "e_form_raw_ev_per_atom": 0.77,
  "spacegroup": "No. 123",
  "energy_ev_per_cell": -30.795
}

=====

6.
{
  "formula": "NdHoAl",
  "functional": "PBE",
  "state": "optimized geometry",
  "cell": [[5.1150, 0.0000, 0.0000], [-2.5575, 4.4297, 0.0000], [0.0000, 0.0000, 3.6500]],
  "species": ["Nd", "Ho", "Al"],
  "fractional_positions": [[0.0000, 0.0000, 0.0000], [0.3333, 0.6667, 0.5597], [0.6667, 0.3333, 0.3387]],
  "formation_enthalpy_0k_ev_per_atom": -0.139,
  "e_above_lowest_polymorph_mev_per_atom": 87,
  "spacegroup": "No. 156",
  "energy_ev_per_cell": -13.506
}

=====

7.
{
  "formula": "HgBi6",
  "functional": "PBE",
  "state": "optimized geometry",
  "cell": [[8.8735, 0.0000, 0.0000], [0.0000, 8.8735, 0.0000], [0.0000, 0.0000, 8.8735]],
  "species": ["Hg", "Hg", "Bi", "Bi", "Bi", "Bi", "Bi", "Bi", "Bi", "Bi", "Bi", "Bi", "Bi", "Bi"],
  "fractional_positions": [[0.0000, 0.0000, 0.0000], [0.5000, 0.5000, 0.5000], [0.0000, 0.2500, 0.5000], [0.0000, 0.5000, 0.2500], [0.0000, 0.5000, 0.7500], [0.0000, 0.7500, 0.5000], [0.2500, 0.0000, 0.5000], [0.2500, 0.5000, 0.0000], [0.5000, 0.0000, 0.2500], [0.5000, 0.0000, 0.7500], [0.5000, 0.2500, 0.0000], [0.5000, 0.7500, 0.0000], [0.7500, 0.0000, 0.5000], [0.7500, 0.5000, 0.0000]],
  "formation_enthalpy_0k_ev_per_atom": 0.225,
  "spacegroup": "No. 229",
  "energy_ev_per_cell": -44.030
}

=====

8.
{
  "formula": "CaGeI",
  "functional": "PBE",
  "state": "optimized geometry",
  "cell": [[2.1137, 1.2204, 12.6455], [-2.1137, 1.2204, 12.6455], [0.0000, -2.4407, 12.6455]],
  "species": ["Ca", "Ca", "Ge", "Ge", "I", "I"],
  "fractional_positions": [[0.0632, 0.0632, 0.0632], [0.9368, 0.9368, 0.9368], [0.3469, 0.3469, 0.3469], [0.6531, 0.6531, 0.6531], [0.2200, 0.2200, 0.2200], [0.7800, 0.7800, 0.7800]],
  "e_form_raw_ev_per_atom": -1.00,
  "spacegroup": "No. 166",
  "energy_ev_per_cell": -22.321
}